## NdSO (PBE-GGA)

Data for a geometry-optimized NdSO structure.

a = 5.8620 Å, b = 5.8695 Å, c = 7.1469 Å
α = 114.25°, β = 90.00°, γ = 90.00°
Sites, in units of the cell vectors:
O (0.2500, 0.0056, 0.5000)
Nd (0.0000, 0.3382, 0.6764)
S (0.1273, 0.1269, 0.0000)
S (0.6273, 0.3731, 0.0000)
S (0.3727, 0.6269, 0.0000)
Nd (0.5000, 0.1618, 0.3236)
Nd (0.0000, 0.6618, 0.3236)
Nd (0.5000, 0.8382, 0.6764)
S (0.8727, 0.8731, 0.0000)
O (0.7500, 0.9944, 0.5000)
O (0.7500, 0.4944, 0.5000)
O (0.2500, 0.5056, 0.5000)

- N(E_F): 0.000 states/eV/f.u.
- M_tot: 0.0 Bohr magnetons per cell
- Raw formation energy: -2.55 eV/atom